Computed, not measured: ThSnH after structural relaxation at the PBE level of DFT.

The calculation puts the density of states at the Fermi level at 0.49 states/eV/atom. The value obtained for the mass density is 8.9 g cm⁻³. The calculation puts the calculated total energy at -0.3970 Ry per atom.

```
ThSnH
1.0
3.987 0.000 0.000
-1.994 3.453 0.000
0.000 0.000 4.762
Th Sn H
1 1 1
Direct
0.000 0.000 0.000
0.667 0.333 0.500
0.333 0.667 0.001
```

Computed, not measured: Th5Sn2H after structural relaxation at the PBE level of DFT.

The calculation puts the density of states at the Fermi level at 1.23 states/eV/atom. The value obtained for the mass density is 10.1 g cm⁻³. The calculation puts the calculated total energy at -0.4613 Ry per atom.

```
Th5Sn2H
1.0
-3.599 3.599 4.428
3.599 -3.599 4.428
3.599 3.599 -4.428
Th Sn H
5 2 1
Direct
0.000 0.000 0.000
0.004 0.004 0.501
0.004 0.503 0.000
0.503 0.004 0.000
0.503 0.503 0.499
0.003 0.503 0.500
0.503 0.003 0.500
0.274 0.274 0.000
```

Computed, not measured: TiSnH after structural relaxation at the PBE level of DFT.

The calculation puts the density of states at the Fermi level at 0.52 states/eV/atom. The value obtained for the mass density is 6.2 g cm⁻³. The calculation puts the calculated total energy at -0.3852 Ry per atom.

```
TiSnH
1.0
3.130 0.000 0.000
0.000 5.351 0.000
-1.442 0.000 5.347
Ti Sn H
2 2 2
Direct
0.245 0.250 0.395
0.755 0.750 0.605
0.051 0.750 0.160
0.949 0.250 0.840
0.331 0.750 0.771
0.669 0.250 0.229
```

Computed, not measured: TiSn2H after structural relaxation at the PBE level of DFT.

The calculation puts the density of states at the Fermi level at 0.61 states/eV/atom. The value obtained for the mass density is 6.8 g cm⁻³. The calculation puts the calculated total energy at -0.3673 Ry per atom.

```
TiSn2H
1.0
2.952 -1.614 0.000
2.952 1.614 0.000
-0.023 0.000 7.305
Ti Sn H
1 2 1
Direct
0.000 0.000 0.000
0.329 0.329 0.696
0.331 0.331 0.303
0.673 0.673 0.999
```

| no. | spin magnetization (μB/f.u.) |
| --- | --- |
| 1 | 0.0 |
| 2 | 0.0 |
| 3 | 0.0 |
| 4 | 0.0 |